1.
The following is a PBE calculation of a relaxed structure of LiTmSnPd, from the Alexandria database.

E_form: -0.797 eV/atom
M_tot: 0.000 μB per atom
Uncorrected energy: -4.69 eV/atom

Unit cell a=4.726 b=4.726 c=4.726 alpha=60.00 beta=60.00 gamma=60.00
Sites, in units of the cell vectors:
1 Sn 0.250 0.250 0.250
2 Tm 0.750 0.750 0.750
3 Li 0.500 0.500 0.500
4 Pd 0.000 0.000 0.000

2.
The following is a PBE calculation of a relaxed structure of Sr2Li2Pd, from the Alexandria database.

Excess energy over the best structure of this formula in the dataset: 63 kJ/mol of formula units
E_form: -0.080 eV/atom
M_tot: 0.000 μB per atom
Uncorrected energy: -2.56 eV/atom

Unit cell a=7.453 b=7.453 c=4.992 alpha=90.00 beta=90.00 gamma=90.00
Sites, in units of the cell vectors:
1 Li 0.865 0.635 0.000
2 Pd 0.500 0.500 0.000
3 Sr 0.309 0.191 0.500
4 Li 0.365 0.865 0.000
5 Li 0.135 0.365 0.000
6 Li 0.635 0.135 0.000
7 Sr 0.691 0.809 0.500
8 Sr 0.809 0.309 0.500
9 Pd 0.000 0.000 0.000
10 Sr 0.191 0.691 0.500

3.
The following is a PBE calculation of a relaxed structure of Sr4Li5Pd2, from the Alexandria database.

E_form: -0.203 eV/atom
M_tot: 0.000 μB per atom
Uncorrected energy: -2.63 eV/atom

Unit cell a=4.492 b=7.729 c=9.475 alpha=90.56 beta=90.00 gamma=90.00
Sites, in units of the cell vectors:
1 Sr 0.500 0.220 0.413
2 Li 0.000 0.141 0.145
3 Sr 0.500 0.793 0.154
4 Sr 0.500 0.780 0.587
5 Pd 0.000 0.082 0.634
6 Pd 0.000 0.918 0.366
7 Li 0.000 0.500 0.000
8 Sr 0.500 0.207 0.846
9 Li 0.000 0.859 0.855
10 Li 0.000 0.568 0.344
11 Li 0.000 0.432 0.656

4.
The following is a PBE calculation of a relaxed structure of SrLi3Pd2, from the Alexandria database.

Excess energy over the best structure of this formula in the dataset: 0 kJ/mol of formula units
E_form: -0.388 eV/atom
M_tot: 0.000 μB per atom
Uncorrected energy: -3.36 eV/atom

Unit cell a=5.732 b=6.406 c=6.406 alpha=96.42 beta=90.00 gamma=90.00
Sites, in units of the cell vectors:
1 Pd 0.500 0.770 0.230
2 Li 0.250 0.923 0.550
3 Pd 0.000 0.230 0.770
4 Li 0.750 0.450 0.077
5 Li 0.750 0.023 0.023
6 Li 0.250 0.977 0.977
7 Sr 0.250 0.346 0.346
8 Sr 0.750 0.654 0.654
9 Pd 0.000 0.770 0.230
10 Li 0.750 0.077 0.450
11 Pd 0.500 0.230 0.770
12 Li 0.250 0.550 0.923